RbCrAs3 | GGA-PBE | optimized geometry

The space group is Pm-3m (No. 221) and the conventional cell measures 5.547, 5.547 and 5.547 Å, with angles of 90.00, 90.00 and 90.00 degrees. Symmetry generates all atoms from Rb at (0.000, 0.000, 0.000), Cr at (0.500, 0.500, 0.500) and As at (0.000, 0.000, 0.500).

The calculation puts the energy above the most stable polymorph in this dataset at 9.049 eV per formula unit. The value obtained for the calculated formation energy is 1.9414 eV per atom. The density of states at the Fermi level comes out at 5.84 states/eV/cell.